Entry 1:
This record from OQMD via LeMat-Bulk describes an optimized crystal structure of TmHgB4. The functional is PBE.

Cell lengths 5.1479, 5.1479, 5.1479 Å; angles 143.88, 118.29, 73.63 degrees
Closest atoms and distances in Å follow each position.
Sites, in units of the cell vectors:
B1 0.5501 0.2317 0.3184  3 B 1.78-1.92
B2 0.0868 0.7683 0.3184  3 B 1.78-1.92
B3 0.9132 0.2317 0.6816  3 B 1.78-1.92
B4 0.4499 0.7683 0.6816  3 B 1.78-1.92
Hg1 0.0000 0.0000 0.0000  4 B 2.54
Tm1 0.5000 0.5000 0.0000  12 B 2.67-2.78

Calculated values
Distance to the lowest polymorph of the same formula   0 meV per atom
Crystal system   orthorhombic
Calculated density   9.87 g/cm³
Symmetry   Immm (71)
E_tot   -5.268 eV per atom
Total magnetic moment   0.0002 μB/atom

Entry 2:
This record from OQMD via LeMat-Bulk describes an optimized crystal structure of ScNbNi. The functional is PBE.

Cell lengths 4.2776, 4.2776, 4.2776 Å; angles 60.00, 60.00, 60.00 degrees
Closest atoms and distances in Å follow each position.
Sites, in units of the cell vectors:
Nb1 0.2500 0.2500 0.2500  4 Ni 2.62
Ni1 0.0000 0.0000 0.0000  4 Sc 2.62, 4 Nb 2.62
Sc1 0.7500 0.7500 0.7500  4 Ni 2.62

Calculated values
Distance to the lowest polymorph of the same formula   0 meV per atom
Crystal system   cubic
Calculated formation energy   161 meV/atom
Calculated density   5.90 g/cm³
Symmetry   F-43m (216)
E_tot   -7.170 eV per atom
Total magnetic moment   0.0096 μB/atom

Entry 3:
This record from OQMD via LeMat-Bulk describes an optimized crystal structure of Pr2NdNi2B2As3. The functional is PBE.

Cell lengths 11.5292, 11.5292, 11.5292 Å; angles 159.27, 159.27, 29.48 degrees
Closest atoms and distances in Å follow each position.
Sites, in units of the cell vectors:
As1 0.1309 0.1309 0.0000  1 B 2.08
As2 0.5000 0.5000 0.0000  4 Nd 2.93, 2 Pr 3.18
As3 0.8691 0.8691 0.0000  1 B 2.08
B1 0.2244 0.2244 0.0000  1 As 2.08, 4 Ni 2.15
B2 0.7756 0.7756 0.0000  1 As 2.08, 4 Ni 2.15
Nd1 0.0000 0.0000 0.0000  6 As 2.92-2.93
Ni1 0.7500 0.2500 0.5000  4 B 2.15
Ni2 0.2500 0.7500 0.5000  4 B 2.15
Pr1 0.3572 0.3572 0.0000  5 As 2.95-3.18, 1 B 2.96, 4 Ni 3.17
Pr2 0.6428 0.6428 0.0000  5 As 2.95-3.18, 1 B 2.96, 4 Ni 3.17

Calculated values
Crystal system   tetragonal
Calculated density   6.83 g/cm³
Symmetry   I4/mmm (139)
E_tot   -6.036 eV per atom
Total magnetic moment   0.0009 μB/atom

Entry 4:
This record from OQMD via LeMat-Bulk describes an optimized crystal structure of PaPdNO. The functional is PBE.

Cell lengths 3.9872, 4.8479, 6.3266 Å; angles 90.00, 90.00, 90.00 degrees
Closest atoms and distances in Å follow each position.
Sites, in units of the cell vectors:
N1 0.0000 0.9351 0.3623  2 Pd 2.04, 1 Pa 2.20
N2 0.0000 0.4351 0.6377  2 Pd 2.04, 1 Pa 2.20
O1 0.5000 0.4366 0.1376  2 Pa 2.21
O2 0.5000 0.9366 0.8624  2 Pa 2.21
Pa1 0.0000 0.4402 0.2896  2 N 2.20-2.44, 2 O 2.21
Pa2 0.0000 0.9402 0.7104  2 N 2.20-2.44, 2 O 2.21
Pd1 0.5000 0.9421 0.2959  2 N 2.04
Pd2 0.5000 0.4421 0.7041  2 N 2.04

Calculated values
Distance to the lowest polymorph of the same formula   173 meV per atom
Crystal system   orthorhombic
Calculated density   9.98 g/cm³
Symmetry   Pmc2_1 (26)
E_tot   -7.949 eV per atom
Total magnetic moment   0.0003 μB/atom

Entry 5:
This record from OQMD via LeMat-Bulk describes an optimized crystal structure of RbBaLuSe3. The functional is PBE.

Cell lengths 9.9938, 9.9938, 12.3227 Å; angles 90.00, 90.00, 155.35 degrees
Closest atoms and distances in Å follow each position.
Sites, in units of the cell vectors:
Ba1 0.8898 0.1102 0.2500  4 Se 3.07
Ba2 0.1102 0.8898 0.7500  4 Se 3.07
Lu1 0.5000 0.5000 0.0000  6 Se 2.85-3.08
Lu2 0.5000 0.5000 0.5000  6 Se 2.85-3.08
Rb1 0.1356 0.8644 0.2500  4 Se 3.19-3.36
Rb2 0.8644 0.1356 0.7500  4 Se 3.19-3.36
Se1 0.9034 0.0966 0.0015  2 Lu 2.85, 1 Ba 3.07
Se2 0.5026 0.4974 0.2500  2 Ba 3.07, 2 Lu 3.08, 2 Rb 3.36
Se3 0.9034 0.0966 0.4985  2 Lu 2.85, 1 Ba 3.07
Se4 0.0966 0.9034 0.5015  2 Lu 2.85, 1 Ba 3.07
Se5 0.4974 0.5026 0.7500  2 Ba 3.07, 2 Lu 3.08, 2 Rb 3.36
Se6 0.0966 0.9034 0.9985  2 Lu 2.85, 1 Ba 3.07

Calculated values
Crystal system   orthorhombic
Calculated density   4.11 g/cm³
Symmetry   Cmcm (63)
E_tot   -4.483 eV per atom
Total magnetic moment   0.0012 μB/atom

Entry 6:
This record from OQMD via LeMat-Bulk describes an optimized crystal structure of LaCoCuP2. The functional is PBE.

Cell lengths 5.8071, 5.8071, 5.8071 Å; angles 140.20, 140.20, 57.55 degrees
Closest atoms and distances in Å follow each position.
Sites, in units of the cell vectors:
Co1 0.0000 0.0000 0.0000  4 P 2.30
Cu1 0.5000 0.5000 0.0000  4 P 2.30
La1 0.2500 0.7500 0.5000  8 P 3.11, 4 Co 3.22, 4 Cu 3.22
P1 0.6163 0.1163 0.5000  2 Co 2.30, 2 Cu 2.30
P2 0.8837 0.3837 0.5000  2 Cu 2.30, 2 Co 2.30

Calculated values
Crystal system   tetragonal
Calculated density   6.75 g/cm³
Symmetry   I-4m2 (119)
E_tot   -6.123 eV per atom
Total magnetic moment   0.0003 μB/atom

Entry 7:
This record from OQMD via LeMat-Bulk describes an optimized crystal structure of Er2Cd. The functional is PBE.

Cell lengths 9.1244, 9.1244, 9.1244 Å; angles 60.00, 60.00, 60.00 degrees
Closest atoms and distances in Å follow each position.
Sites, in units of the cell vectors:
Cd1 0.2500 0.2500 0.2500  4 Er 2.79
Cd2 0.5000 0.5000 0.5000  4 Er 2.79
Er1 0.8750 0.3750 0.3750  2 Cd 2.79
Er2 0.3750 0.8750 0.3750  2 Cd 2.79
Er3 0.3750 0.3750 0.3750  2 Cd 2.79
Er4 0.3750 0.3750 0.8750  2 Cd 2.79

Calculated values
Crystal system   cubic
Calculated formation energy   1618 meV/atom
Calculated density   2.76 g/cm³
Symmetry   Fd-3m (227)
E_tot   -1.723 eV per atom
Total magnetic moment   0.0103 μB/atom

Entry 8:
This record from OQMD via LeMat-Bulk describes an optimized crystal structure of NdTmHg. The functional is PBE.

Cell lengths 5.1428, 5.1428, 5.1428 Å; angles 60.00, 60.00, 60.00 degrees
Closest atoms and distances in Å follow each position.
Sites, in units of the cell vectors:
Hg1 0.0000 0.0000 0.0000  4 Nd 3.15, 4 Tm 3.15
Nd1 0.2500 0.2500 0.2500  4 Hg 3.15
Tm1 0.7500 0.7500 0.7500  4 Hg 3.15

Calculated values
Distance to the lowest polymorph of the same formula   0 meV per atom
Crystal system   cubic
Calculated formation energy   -98 meV/atom
Calculated density   8.87 g/cm³
Symmetry   F-43m (216)
E_tot   -3.276 eV per atom
Total magnetic moment   0.0161 μB/atom

Entry 9:
This record from OQMD via LeMat-Bulk describes an optimized crystal structure of CuHgMoAs. The functional is PBE.

Cell lengths 4.5399, 4.5399, 4.5399 Å; angles 60.00, 60.00, 60.00 degrees
Closest atoms and distances in Å follow each position.
Sites, in units of the cell vectors:
As1 0.0000 0.0000 0.0000  4 Cu 2.78, 4 Mo 2.78
Cu1 0.7500 0.7500 0.7500  4 As 2.78, 4 Hg 2.78
Hg1 0.5000 0.5000 0.5000  4 Mo 2.78, 4 Cu 2.78
Mo1 0.2500 0.2500 0.2500  4 Hg 2.78, 4 As 2.78

Calculated values
Distance to the lowest polymorph of the same formula   0 meV per atom
Crystal system   cubic
Calculated density   10.92 g/cm³
Symmetry   F-43m (216)
E_tot   -4.356 eV per atom
Total magnetic moment   0.0039 μB/atom

Entry 10:
This record from OQMD via LeMat-Bulk describes an optimized crystal structure of DySc2NiSn3Ir2. The functional is PBE.

Cell lengths 3.5053, 7.5630, 7.5630 Å; angles 120.26, 90.00, 90.00 degrees
Closest atoms and distances in Å follow each position.
Sites, in units of the cell vectors:
Dy1 0.0000 0.4019 0.4019  4 Ir 2.94, 1 Ni 3.03, 6 Sn 3.10-3.22
Ir1 0.5000 0.6730 0.3315  3 Sn 2.74-2.87, 4 Sc 2.86-2.88, 2 Dy 2.94
Ir2 0.5000 0.3315 0.6730  3 Sn 2.74-2.87, 4 Sc 2.86-2.88, 2 Dy 2.94
Ni1 0.0000 0.9992 0.9992  6 Sn 2.62-2.66
Sc1 0.0000 0.9990 0.5974  4 Ir 2.86-2.88, 1 Ni 3.04, 6 Sn 3.07-3.19
Sc2 0.0000 0.5974 0.9990  4 Ir 2.86-2.88, 1 Ni 3.04, 6 Sn 3.07-3.19
Sn1 0.5000 0.9952 0.2617  2 Ni 2.66, 2 Ir 2.74-2.86
Sn2 0.5000 0.7410 0.7410  2 Ni 2.62, 2 Ir 2.87
Sn3 0.5000 0.2617 0.9952  2 Ni 2.66, 2 Ir 2.74-2.86

Calculated values
Crystal system   orthorhombic
Calculated density   10.08 g/cm³
Symmetry   Amm2 (38)
E_tot   -6.606 eV per atom
Total magnetic moment   0.0001 μB/atom

Entry 11:
This record from OQMD via LeMat-Bulk describes an optimized crystal structure of Lu2SiGePt. The functional is PBE.

Cell lengths 5.5470, 5.5470, 10.0725 Å; angles 115.27, 115.27, 44.89 degrees
Closest atoms and distances in Å follow each position.
Sites, in units of the cell vectors:
Ge1 0.5317 0.5317 0.3856  1 Pt 2.63, 1 Ge 2.67, 3 Lu 2.90-2.92
Ge2 0.4683 0.4683 0.6144  1 Pt 2.63, 1 Ge 2.67, 3 Lu 2.90-2.92
Lu1 0.9946 0.9946 0.1720  2 Ge 2.92, 4 Pt 2.94-3.13, 4 Si 2.98-3.06
Lu2 0.8152 0.8152 0.3865  5 Ge 2.90-3.07, 1 Si 2.93, 2 Pt 3.06
Lu3 0.1848 0.1848 0.6135  5 Ge 2.90-3.07, 1 Si 2.93, 2 Pt 3.06
Lu4 0.0054 0.0054 0.8280  2 Ge 2.92, 4 Pt 2.94-3.13, 4 Si 2.98-3.06
Pt1 0.2710 0.2710 0.1500  3 Si 2.46-2.69, 1 Ge 2.63
Pt2 0.7290 0.7290 0.8500  3 Si 2.46-2.69, 1 Ge 2.63
Si1 0.6363 0.6363 0.0605  3 Pt 2.46-2.69, 1 Si 2.48
Si2 0.3637 0.3637 0.9395  3 Pt 2.46-2.69, 1 Si 2.48

Calculated values
Crystal system   monoclinic
Calculated density   11.06 g/cm³
Symmetry   C2/m (12)
E_tot   -6.060 eV per atom
Total magnetic moment   0.0030 μB/atom

Entry 12:
This record from OQMD via LeMat-Bulk describes an optimized crystal structure of LiZr2Ga2CuPt2. The functional is PBE.

Cell lengths 4.4968, 4.4968, 6.3689 Å; angles 90.00, 90.00, 90.00 degrees
Closest atoms and distances in Å follow each position.
Sites, in units of the cell vectors:
Cu1 0.0000 0.0000 0.0000  4 Zr 2.75, 4 Ga 2.75
Ga1 0.5000 0.0000 0.2497  2 Cu 2.75, 4 Pt 2.75-2.76, 2 Li 2.76
Ga2 0.0000 0.5000 0.7503  2 Cu 2.75, 4 Pt 2.75-2.76, 2 Li 2.76
Li1 0.5000 0.5000 0.5000  4 Ga 2.76, 4 Zr 2.76
Pt1 0.5000 0.5000 0.0000  4 Zr 2.75, 4 Ga 2.75
Pt2 0.0000 0.0000 0.5000  4 Ga 2.76, 4 Zr 2.76
Zr1 0.0000 0.5000 0.2479  2 Cu 2.75, 4 Pt 2.75-2.76, 2 Li 2.76
Zr2 0.5000 0.0000 0.7521  2 Cu 2.75, 4 Pt 2.75-2.76, 2 Li 2.76

Calculated values
Crystal system   tetragonal
Calculated density   10.09 g/cm³
Symmetry   P-4m2 (115)
E_tot   -5.842 eV per atom
Total magnetic moment   0.0009 μB/atom

Question: The lowest E_tot belongs to which entry?
Answer: PaPdNO